Na2Ge2Sb | Alexandria via LeMat-Bulk | PBE-GGA | optimized geometry; energy above the most stable polymorph in this dataset = 26 meV/atom; DOS at the Fermi energy = 2.47 states/eV/f.u.
1.0
5.8874 0.0000 0.0000
-2.9437 5.1273 -0.0982
0.0000 -2.5125 8.4596
Ge Na Sb
4 4 2
direct
0.0593 0.3303 0.0179 Ge
0.2709 0.3303 0.5179 Ge
0.9407 0.6697 0.9821 Ge
0.7291 0.6697 0.4821 Ge
0.2436 0.7369 0.3548 Na
0.7564 0.2631 0.6452 Na
0.4933 0.7369 0.8548 Na
0.5067 0.2631 0.1452 Na
0.8752 0.0000 0.2500 Sb
0.1248 0.0000 0.7500 Sb